No. 1
A PBEsol-optimized structure of LaMgTa2. Source: the Alexandria database, functional SCAN.

Cell: 2.967 4.682 6.321 Å, 90.00 101.10 90.00°
Fractional positions:
1 La 0.000 0.000 0.000
2 Mg 0.631 0.500 0.306
3 Ta 0.153 0.000 0.527
4 Ta 0.460 0.500 0.736

Computed properties:
Energy of formation, eV/f.u.: 1.6
Electronic total energy, eV per atom: -44.90
DOS at the Fermi energy, states/eV per atom: 0.98


No. 2
A PBEsol-optimized structure of LiNiGeSb2. Source: the Alexandria database, functional SCAN.

Cell: 5.096 5.096 4.394 Å, 90.00 90.00 90.00°
Fractional positions:
1 Li 0.000 0.000 0.000
2 Ni 0.500 0.500 0.500
3 Ge 0.500 0.500 0.000
4 Sb 0.000 0.500 0.500
5 Sb 0.500 0.000 0.500

Computed properties:
Electronic total energy, eV per atom: -22.33
Energy relative to the elements, uncorrected, meV per atom: 104
DOS at the Fermi energy, states/eV per atom: 0.42


No. 3
A PBEsol-optimized structure of K2BeP. Source: the Alexandria database, functional SCAN.

Cell: 3.266 3.266 32.267 Å, 90.00 90.00 120.00°
Fractional positions:
1 K 0.000 0.000 0.244
2 K 0.000 0.000 0.756
3 K 0.333 0.667 0.423
4 K 0.333 0.667 0.911
5 K 0.667 0.333 0.089
6 K 0.667 0.333 0.577
7 Be 0.000 0.000 0.000
8 Be 0.333 0.667 0.667
9 Be 0.667 0.333 0.333
10 P 0.000 0.000 0.500
11 P 0.333 0.667 0.167
12 P 0.667 0.333 0.833

Computed properties:
Energy of formation, eV/f.u.: 3.2
Electronic total energy, eV per atom: -7.06
Polymorph energy (0 for the lowest one), meV per atom: 226
DOS at the Fermi energy, states/eV per atom: 0.43


No. 4
A PBEsol-optimized structure of TlIr2Os. Source: the Alexandria database, functional SCAN.

Cell: 2.774 4.878 9.555 Å, 90.00 90.00 90.00°
Fractional positions:
1 Tl 0.000 0.000 0.000
2 Tl 0.500 0.500 0.000
3 Ir 0.000 0.000 0.500
4 Ir 0.000 0.500 0.263
5 Ir 0.500 0.000 0.263
6 Ir 0.500 0.500 0.500
7 Os 0.000 0.500 0.731
8 Os 0.500 0.000 0.731

Computed properties:
Energy of formation, eV/f.u.: 3.5
Electronic total energy, eV per atom: -70.73
Polymorph energy (0 for the lowest one), meV per atom: 178
DOS at the Fermi energy, states/eV per atom: 0.98


No. 5
A PBEsol-optimized structure of BaSc2TaH. Source: the Alexandria database, functional SCAN.

Cell: 4.565 4.565 4.777 Å, 90.00 90.00 90.00°
Fractional positions:
1 Ba 0.000 0.000 0.000
2 Sc 0.000 0.500 0.500
3 Sc 0.500 0.000 0.500
4 Ta 0.500 0.500 0.000
5 H 0.000 0.000 0.500

Computed properties:
Electronic total energy, eV per atom: -27.12
DOS at the Fermi energy, states/eV per atom: 0.53


No. 6
A PBEsol-optimized structure of Zr3AgRu. Source: the Alexandria database, functional SCAN.

Cell: 4.916 4.916 4.916 Å, 90.00 90.00 90.00°
Fractional positions:
1 Zr 0.000 0.000 0.500
2 Zr 0.000 0.500 0.000
3 Zr 0.500 0.000 0.000
4 Ag 0.500 0.500 0.500
5 Ru 0.000 0.000 0.000

Computed properties:
Energy of formation, eV/f.u.: 1.5
Electronic total energy, eV per atom: -31.36
DOS at the Fermi energy, states/eV per atom: 1.49


No. 7
A PBEsol-optimized structure of YBeF2. Source: the Alexandria database, functional SCAN.

Cell: 3.035 3.035 20.055 Å, 90.00 90.00 120.00°
Fractional positions:
1 Y 0.000 0.000 0.000
2 Y 0.333 0.667 0.667
3 Y 0.667 0.333 0.333
4 Be 0.000 0.000 0.500
5 Be 0.333 0.667 0.167
6 Be 0.667 0.333 0.833
7 F 0.000 0.000 0.127
8 F 0.000 0.000 0.873
9 F 0.333 0.667 0.539
10 F 0.333 0.667 0.794
11 F 0.667 0.333 0.206
12 F 0.667 0.333 0.461

Computed properties:
Electronic total energy, eV per atom: -11.49
Energy relative to the elements, uncorrected, meV per atom: -1670
DOS at the Fermi energy, states/eV per atom: 0.29


No. 8
A PBEsol-optimized structure of TaHgCl3. Source: the Alexandria database, functional SCAN.

Cell: 4.835 4.835 4.835 Å, 90.00 90.00 90.00°
Fractional positions:
1 Ta 0.000 0.000 0.000
2 Hg 0.500 0.500 0.500
3 Cl 0.000 0.000 0.500
4 Cl 0.000 0.500 0.000
5 Cl 0.500 0.000 0.000

Computed properties:
Electronic total energy, eV per atom: -32.39
Energy relative to the elements, uncorrected, meV per atom: -648
Polymorph energy (0 for the lowest one), meV per atom: 0
DOS at the Fermi energy, states/eV per atom: 0.39


No. 9
A PBEsol-optimized structure of Li3GaCl. Source: the Alexandria database, functional SCAN.

Cell: 4.548 4.548 4.548 Å, 90.00 90.00 90.00°
Fractional positions:
1 Li 0.000 0.000 0.500
2 Li 0.000 0.500 0.000
3 Li 0.500 0.000 0.000
4 Ga 0.500 0.500 0.500
5 Cl 0.000 0.000 0.000

Computed properties:
Electronic total energy, eV per atom: -6.92
Energy relative to the elements, uncorrected, meV per atom: -623
Polymorph energy (0 for the lowest one), meV per atom: 0
DOS at the Fermi energy, states/eV per atom: 0.39


No. 10
A PBEsol-optimized structure of RbAgBi3. Source: the Alexandria database, functional SCAN.

Cell: 5.980 5.980 5.980 Å, 90.00 90.00 90.00°
Fractional positions:
1 Rb 0.000 0.000 0.000
2 Ag 0.500 0.500 0.500
3 Bi 0.000 0.000 0.500
4 Bi 0.000 0.500 0.000
5 Bi 0.500 0.000 0.000

Computed properties:
Energy of formation, eV/f.u.: 7.7
Electronic total energy, eV per atom: -56.02
DOS at the Fermi energy, states/eV per atom: 1.56


No. 11
A PBEsol-optimized structure of Cd4Ag. Source: the Alexandria database, functional SCAN.

Cell: 3.036 3.036 21.210 Å, 90.00 90.00 90.00°
Fractional positions:
1 Cd 0.000 0.000 0.094
2 Cd 0.000 0.000 0.302
3 Cd 0.000 0.000 0.698
4 Cd 0.000 0.000 0.906
5 Cd 0.500 0.500 0.198
6 Cd 0.500 0.500 0.406
7 Cd 0.500 0.500 0.594
8 Cd 0.500 0.500 0.802
9 Ag 0.000 0.000 0.500
10 Ag 0.500 0.500 0.000

Computed properties:
Energy of formation, eV/f.u.: 0.0
Electronic total energy, eV per atom: -30.60
Polymorph energy (0 for the lowest one), meV per atom: 5
DOS at the Fermi energy, states/eV per atom: 0.34


No. 12
A PBEsol-optimized structure of Ba2OsBr. Source: the Alexandria database, functional SCAN.

Cell: 4.491 4.491 11.534 Å, 90.00 90.00 90.00°
Fractional positions:
1 Ba 0.000 0.000 0.000
2 Ba 0.000 0.500 0.250
3 Ba 0.500 0.000 0.750
4 Ba 0.500 0.500 0.500
5 Os 0.000 0.500 0.750
6 Os 0.500 0.000 0.250
7 Br 0.000 0.000 0.500
8 Br 0.500 0.500 0.000

Computed properties:
Electronic total energy, eV per atom: -42.51
Energy relative to the elements, uncorrected, meV per atom: 103
Polymorph energy (0 for the lowest one), meV per atom: 460
DOS at the Fermi energy, states/eV per atom: 0.65